1.
The following is a DFT calculation (GGA-PBE) of a geometry-optimized PdCI2Br structure.

abc: 5.492 5.492 5.069
angles: 90.00 90.00 90.00
Sites, in units of the cell vectors:
Pd1 0.000 0.000 0.000
C1 0.500 0.500 0.500
I1 0.000 0.500 0.000
I2 0.500 0.000 0.000
Br1 0.000 0.000 0.500

E = -0.1765 Ry/atom
Symmetry = No. 123
Mass density = 4.910 g/cm³

=====

2.
The following is a DFT calculation (GGA-PBE) of a geometry-optimized Tm3Al4Zn4 structure.

abc: 13.730 13.730 4.369
angles: 99.07 99.07 15.09
Sites, in units of the cell vectors:
Tm1 0.000 0.000 0.000
Tm2 0.145 0.145 0.644
Tm3 0.855 0.855 0.356
Al1 0.256 0.256 0.257
Al2 0.406 0.406 0.907
Al3 0.594 0.594 0.093
Al4 0.744 0.744 0.743
Zn1 0.313 0.313 0.814
Zn2 0.453 0.453 0.453
Zn3 0.547 0.547 0.547
Zn4 0.687 0.687 0.186

Symmetry = No. 12
Mass density = 6.875 g/cm³
ΔH_f (0 K) = -383 meV per atom

=====

3.
The following is a DFT calculation (GGA-PBE) of a geometry-optimized LaMn structure.

abc: 9.751 9.751 3.798
angles: 90.00 90.00 120.00
Sites, in units of the cell vectors:
La1 0.189 0.378 0.250
La2 0.189 0.811 0.250
La3 0.378 0.189 0.750
La4 0.622 0.811 0.250
La5 0.811 0.189 0.750
La6 0.811 0.622 0.750
Mn1 0.063 0.532 0.750
Mn2 0.468 0.532 0.750
Mn3 0.468 0.937 0.750
Mn4 0.532 0.063 0.250
Mn5 0.532 0.468 0.250
Mn6 0.937 0.468 0.250

Symmetry = No. 194
Mass density = 6.176 g/cm³
ΔH_f (0 K) = 418 meV per atom

=====

4.
The following is a DFT calculation (GGA-PBE) of a geometry-optimized InNi6Sn structure.

abc: 6.476 6.476 10.551
angles: 90.00 90.00 109.25
Sites, in units of the cell vectors:
In1 0.000 0.000 0.249
In2 0.000 0.000 0.751
In3 0.249 0.751 0.000
In4 0.751 0.249 0.000
Ni1 0.000 0.000 0.000
Ni2 0.000 0.000 0.500
Ni3 0.126 0.377 0.126
Ni4 0.126 0.377 0.874
Ni5 0.127 0.376 0.376
Ni6 0.127 0.376 0.624
Ni7 0.250 0.750 0.251
Ni8 0.250 0.750 0.749
Ni9 0.376 0.127 0.376
Ni10 0.376 0.127 0.624
Ni11 0.377 0.126 0.126
Ni12 0.377 0.126 0.874
Ni13 0.500 0.500 0.000
Ni14 0.500 0.500 0.500
Ni15 0.623 0.874 0.126
Ni16 0.623 0.874 0.874
Ni17 0.624 0.873 0.376
Ni18 0.624 0.873 0.624
Ni19 0.750 0.250 0.251
Ni20 0.750 0.250 0.749
Ni21 0.873 0.624 0.376
Ni22 0.873 0.624 0.624
Ni23 0.874 0.623 0.126
Ni24 0.874 0.623 0.874
Sn1 0.249 0.751 0.500
Sn2 0.500 0.500 0.249
Sn3 0.500 0.500 0.751
Sn4 0.751 0.249 0.500

Distance to the lowest polymorph of the same formula = 0.019 eV per atom
Symmetry = No. 65
Mass density = 9.313 g/cm³
ΔH_f (0 K) = -112 meV per atom